[1]
DFT (PBE-GGA) results for a relaxed structure of Ti5Pt3.

Cell lengths 3.903, 5.721, 5.721 Å; angles 91.89, 90.00, 90.00 degrees
Fractional coordinates of all 8 atoms:
1 Ti 0.000 0.000 0.000
2 Ti 0.000 0.500 0.000
3 Ti 0.000 0.000 0.500
4 Ti 0.500 0.731 0.731
5 Ti 0.500 0.269 0.269
6 Pt 0.000 0.500 0.500
7 Pt 0.500 0.760 0.240
8 Pt 0.500 0.240 0.760

Results
crystal system	orthorhombic
volume	15.960	Å³ per atom
total magnetic moment	0.0	μB per cell
calculated density	10724	kg/m3
uncorrected energy	-0.291	Ha/atom
formation energy	-5.7	eV per formula unit
SG	Cmmm (65)



[2]
DFT (PBE-GGA) results for a relaxed structure of CsPtPb.

Cell lengths 6.850, 9.426, 6.841 Å; angles 90.00, 90.00, 111.31 degrees
Fractional coordinates of all 12 atoms:
1 Cs 0.819 0.638 0.500
2 Cs 0.681 0.362 0.000
3 Cs 0.181 0.362 0.500
4 Cs 0.319 0.638 0.000
5 Pt 0.595 0.189 0.500
6 Pt 0.905 0.811 0.000
7 Pt 0.405 0.811 0.500
8 Pt 0.095 0.189 0.000
9 Pb 0.250 0.000 0.250
10 Pb 0.250 0.000 0.750
11 Pb 0.750 0.000 0.750
12 Pb 0.750 0.000 0.250

Results
crystal system	orthorhombic
volume	34.294	Å³ per atom
total magnetic moment	0.0	μB per cell
calculated density	8638	kg/m3
energy relative to the lowest polymorph listed for this composition	220	meV per atom
uncorrected energy	-0.131	Ha/atom
formation energy	-0.1	eV per formula unit
SG	Fmmm (69)



[3]
DFT (PBE-GGA) results for a relaxed structure of NpMn4W.

Cell lengths 4.877, 4.877, 4.877 Å; angles 60.00, 60.00, 60.00 degrees
Fractional coordinates of all 6 atoms:
1 Np 0.250 0.250 0.250
2 Mn 0.625 0.625 0.124
3 Mn 0.625 0.124 0.625
4 Mn 0.625 0.625 0.625
5 Mn 0.124 0.625 0.625
6 W 0.000 0.000 0.000

Results
crystal system	cubic
volume	13.670	Å³ per atom
total magnetic moment	4.7	μB per cell
calculated density	12970	kg/m3
uncorrected energy	-0.374	Ha/atom
formation energy	1.6	eV per formula unit
SG	F-43m (216)



[4]
DFT (PBE-GGA) results for a relaxed structure of Dy3Sn2H2.

Cell lengths 6.736, 8.103, 6.304 Å; angles 90.00, 59.36, 90.00 degrees
Fractional coordinates of all 14 atoms:
1 Dy 0.500 0.500 0.000
2 Dy 0.000 0.000 0.000
3 Dy 0.695 0.091 0.659
4 Dy 0.805 0.591 0.341
5 Dy 0.195 0.409 0.659
6 Dy 0.305 0.909 0.341
7 Sn 0.881 0.731 0.779
8 Sn 0.381 0.769 0.779
9 Sn 0.619 0.231 0.221
10 Sn 0.119 0.269 0.221
11 H 0.589 0.379 0.644
12 H 0.911 0.879 0.356
13 H 0.089 0.121 0.644
14 H 0.411 0.621 0.356

Results
crystal system	monoclinic
volume	21.145	Å³ per atom
total magnetic moment	0.0	μB per cell
calculated density	8155	kg/m3
uncorrected energy	-0.170	Ha/atom
SG	P2_1/c (14)



[5]
DFT (PBE-GGA) results for a relaxed structure of ZnFeTe2.

Cell lengths 6.000, 6.000, 7.204 Å; angles 65.39, 65.39, 90.00 degrees
Fractional coordinates of all 8 atoms:
1 Zn 0.000 0.000 0.000
2 Zn 0.750 0.250 0.500
3 Te 0.592 0.125 0.250
4 Te 0.158 0.625 0.250
5 Te 0.375 0.408 0.750
6 Te 0.875 0.842 0.750
7 Fe 0.500 0.500 0.000
8 Fe 0.250 0.750 0.500

Results
crystal system	tetragonal
volume	26.200	Å³ per atom
formation energy without anion corrections	0.078	eV per atom
total magnetic moment	0.0	μB per cell
calculated density	5965	kg/m3
uncorrected energy	-0.144	Ha/atom
SG	I-42d (122)



[6]
DFT (PBE-GGA) results for a relaxed structure of LaSmRh2.

Cell lengths 3.922, 4.269, 5.848 Å; angles 90.00, 109.57, 90.00 degrees
Fractional coordinates of all 4 atoms:
1 La 0.724 0.000 0.987
2 Sm 0.444 0.500 0.426
3 Rh 0.169 0.500 0.878
4 Rh 0.994 0.000 0.527

Results
crystal system	orthorhombic
volume	23.064	Å³ per atom
total magnetic moment	0.0	μB per cell
calculated density	8911	kg/m3
uncorrected energy	-0.251	Ha/atom
formation energy	-3.0	eV per formula unit
SG	Amm2 (38)



Which value of total magnetic moment does entry 2 give?
0.0 μB per cell